14
Lattice="5.8340 -0.2784 0.0072 1.6698 5.5968 0.0072 1.5291 1.0838 6.4903" Properties=species:S:1:pos:R:3 comment="YSeO4F, optimized geometry, DFT PBE" vol_a3_per_fu=107.4 spacegroup="No. 12" pbc="T T T"
Se 3.0538 2.1645 1.8271
Se 5.9791 4.2378 4.6775
O 1.7738 2.8220 0.9343
O 6.4369 4.5623 3.1338
O 4.6385 3.2876 4.7686
O 2.5960 1.8399 3.3708
O 5.7826 5.6633 5.5703
O 4.3945 3.1147 1.7360
O 3.2503 0.7389 0.9343
O 7.2591 3.5802 5.5703
F 8.6103 6.1027 5.3768
F 0.4226 0.2995 1.1278
Y 2.8876 2.0467 5.7243
Y 6.1453 4.3556 0.7803

=====

5
Lattice="4.7933 0.0000 0.0000 0.0000 4.7933 0.0000 0.0000 0.0000 3.7658" Properties=species:S:1:pos:R:3 comment="YSeOF2, optimized geometry, DFT PBE" vol_a3_per_fu=86.5 spacegroup="No. 123" polymorph_energy_ev_per_atom=1.038 pbc="T T T"
F 0.0000 2.3967 0.0000
F 2.3967 0.0000 0.0000
O 0.0000 0.0000 1.8829
Y 2.3967 2.3967 1.8829
Se 0.0000 0.0000 0.0000

=====

5
Lattice="4.4199 0.0000 0.0000 0.0000 4.4199 0.0000 0.0000 0.0000 4.5398" Properties=species:S:1:pos:R:3 comment="YSeOF2, optimized geometry, DFT PBE" vol_a3_per_fu=88.7 spacegroup="No. 123" polymorph_energy_ev_per_atom=0.000 pbc="T T T"
F 2.2099 0.0000 0.0000
F 0.0000 2.2099 0.0000
Se 2.2099 2.2099 2.2699
Y 0.0000 0.0000 0.0000
O 0.0000 0.0000 2.2699

=====

24
Lattice="-3.0948 -1.5361 6.1343 6.0512 -0.7743 2.8590 1.0862 6.8027 2.2515" Properties=species:S:1:pos:R:3 comment="YbSeO3F, optimized geometry, DFT PBE" vol_a3_per_fu=84.9 spacegroup="No. 14" pbc="T T T"
O 2.5289 0.2756 2.9097
O 4.3681 0.8404 4.8767
O 5.2502 4.4099 5.3306
O 1.9025 5.6326 2.5914
O -0.0186 1.5473 4.1971
O 2.7233 3.5039 4.7266
O 2.1402 -1.1404 8.6533
O -1.2075 0.0823 5.9141
O 1.5138 4.2166 8.3351
O 1.3194 0.9884 6.5181
O -0.3255 3.6519 6.3680
O 4.0613 2.9450 7.0477
Yb 3.5502 0.5482 7.0979
Yb 0.4925 3.9440 4.1469
Yb 0.6316 0.8814 1.6688
Yb 3.4110 3.6109 9.5760
F 0.9414 5.9210 5.0582
F 3.1012 -1.4287 6.1866
F 2.8167 1.5618 8.9528
F 1.2259 2.9305 2.2920
Se 3.6469 4.2551 5.9566
Se 0.1490 3.2464 7.9794
Se 0.3957 0.2371 5.2881
Se 3.8937 1.2458 3.2653

=====

5
Lattice="4.2063 0.0000 0.0000 0.0000 4.2063 0.0000 0.0000 0.0000 4.2852" Properties=species:S:1:pos:R:3 comment="ZrSeO2F, optimized geometry, DFT PBE" vol_a3_per_fu=75.8 spacegroup="No. 123" pbc="T T T"
Se 2.1031 2.1031 2.1426
O 0.0000 2.1031 0.0000
O 2.1031 0.0000 0.0000
F 0.0000 0.0000 2.1426
Zr 0.0000 0.0000 0.0000

=====

5
Lattice="-3.0339 -1.0254 2.2426 -2.2202 -0.4113 -3.1917 1.3173 -4.6039 -0.3231" Properties=species:S:1:pos:R:3 comment="ZrSeO2F, optimized geometry, DFT PBE" vol_a3_per_fu=73.4 spacegroup="No. 123" pbc="T T T"
Se 0.0000 0.0000 0.0000
F 0.6586 -2.3019 -0.1615
O -1.5169 -0.5127 1.1213
O -1.1101 -0.2056 -1.5958
Zr -1.9684 -3.0203 -0.6361

=====

These records have size of the total moment values of 0.00, 0.00, 2.91, 4.12, 2.48, 1.84 Bohr magnetons per cell, in the order they appear.
These records have raw formation energy values of -2.048, -1.113, -2.151, -2.011, -1.793, -0.448 eV/atom, in the order they appear.
These records have total energy values of -6.57, -4.84, -5.88, -5.64, -6.56, -5.21 eV/atom, in the order they appear.